This record from the Alexandria database describes Pr2Tm2Se2S3 after structural relaxation. The functional is PBE.

Cell: 5.059 5.059 9.841 Å, 104.89 104.89 90.00°
Fractional coordinates of all 9 atoms:
S1 0.000 0.000 0.000
S2 0.750 0.250 0.500
S3 0.250 0.750 0.500
Se1 0.595 0.595 0.189
Se2 0.405 0.405 0.811
Tm1 0.500 0.000 0.000
Tm2 0.000 0.500 0.000
Pr1 0.817 0.817 0.634
Pr2 0.183 0.183 0.366

Crystal system ... tetragonal
Final energy ... -5.8212 eV per atom
DOS(E_F) ... 5.09 states/eV/cell
Mass density ... 6.2 Mg/m³

This record from the Alexandria database describes Tl3BiSb after structural relaxation. The functional is PBE.

Cell: 4.265 9.266 9.511 Å, 90.00 90.00 102.76°
Fractional coordinates of all 10 atoms:
Tl1 0.910 0.314 0.965
Tl2 0.456 0.423 0.250
Tl3 0.544 0.577 0.750
Tl4 0.090 0.686 0.465
Tl5 0.090 0.686 0.035
Tl6 0.910 0.314 0.535
Sb1 0.643 0.794 0.250
Sb2 0.357 0.206 0.750
Bi1 0.202 0.885 0.750
Bi2 0.798 0.115 0.250

Crystal system ... monoclinic
DOS(E_F) ... 4.22 states/eV/cell
Mass density ... 8.6 Mg/m³
ΔE to the lowest computed polymorph ... 147 meV/atom

This record from the Alexandria database describes Ba2Cu4GeSb3 after structural relaxation. The functional is PBE.

Cell: 4.621 4.621 10.842 Å, 90.00 90.00 90.00°
Fractional coordinates of all 10 atoms:
Sb1 0.500 0.000 0.872
Sb2 0.000 0.000 0.500
Sb3 0.000 0.500 0.128
Ge1 0.500 0.500 0.500
Cu1 0.500 0.500 0.000
Cu2 0.000 0.000 0.000
Cu3 0.500 0.000 0.623
Cu4 0.000 0.500 0.377
Ba1 0.500 0.000 0.245
Ba2 0.000 0.500 0.755

Crystal system ... tetragonal
Final energy ... -4.1614 eV per atom
DOS(E_F) ... 3.04 states/eV/cell
Mass density ... 6.9 Mg/m³

This record from the Alexandria database describes SiIrSe2 after structural relaxation. The functional is PBE.

Cell: 3.081 4.673 4.673 Å, 90.00 90.00 90.00°
Fractional coordinates of all 4 atoms:
Si1 0.500 0.500 0.000
Se1 0.000 0.500 0.500
Se2 0.000 0.000 0.000
Ir1 0.500 0.000 0.500

Crystal system ... tetragonal
Final energy ... -4.8273 eV per atom
DOS(E_F) ... 1.89 states/eV/cell
Mass density ... 9.3 Mg/m³

This record from the Alexandria database describes Cs20K3Na6 after structural relaxation. The functional is PBE.

Cell: 15.752 15.752 15.752 Å, 60.00 60.00 60.00°
Fractional coordinates of all 29 atoms:
Cs1 0.338 0.000 0.662
Cs2 0.000 0.338 0.000
Cs3 0.000 0.000 0.338
Cs4 0.860 0.380 0.380
Cs5 0.338 0.662 0.000
Cs6 0.662 0.000 0.338
Cs7 0.662 0.338 0.000
Cs8 0.620 0.620 0.140
Cs9 0.380 0.860 0.380
Cs10 0.380 0.380 0.380
Cs11 0.000 0.662 0.000
Cs12 0.620 0.620 0.620
Cs13 0.662 0.000 0.000
Cs14 0.380 0.380 0.860
Cs15 0.140 0.620 0.620
Cs16 0.000 0.000 0.662
Cs17 0.338 0.000 0.000
Cs18 0.620 0.140 0.620
Cs19 0.000 0.338 0.662
Cs20 0.000 0.662 0.338
Na1 0.728 0.272 0.728
Na2 0.728 0.272 0.272
Na3 0.272 0.728 0.728
Na4 0.272 0.272 0.728
Na5 0.272 0.728 0.272
Na6 0.728 0.728 0.272
K1 0.000 0.000 0.000
K2 0.250 0.250 0.250
K3 0.750 0.750 0.750

Crystal system ... cubic
DOS(E_F) ... 23.44 states/eV/cell
Mass density ... 1.8 Mg/m³
Formation energy from the elements ... 0.62 eV/f.u.

This record from the Alexandria database describes HoMg4Tl2 after structural relaxation. The functional is PBE.

Cell: 4.552 8.718 8.718 Å, 90.00 90.00 90.00°
Fractional coordinates of all 14 atoms:
Mg1 0.500 0.398 0.848
Mg2 0.000 0.898 0.652
Mg3 0.500 0.152 0.602
Mg4 0.000 0.652 0.898
Mg5 0.500 0.848 0.398
Mg6 0.500 0.602 0.152
Mg7 0.000 0.102 0.348
Mg8 0.000 0.348 0.102
Tl1 0.500 0.310 0.310
Tl2 0.500 0.690 0.690
Tl3 0.000 0.190 0.810
Tl4 0.000 0.810 0.190
Ho1 0.500 0.000 0.000
Ho2 0.000 0.500 0.500

Crystal system ... tetragonal
DOS(E_F) ... 7.88 states/eV/cell
Mass density ... 6.4 Mg/m³
Formation energy from the elements ... -0.63 eV/f.u.

This record from the Alexandria database describes Ti2NiRh5 after structural relaxation. The functional is PBE.

Cell: 3.846 5.398 10.774 Å, 90.00 90.00 90.00°
Fractional coordinates of all 16 atoms:
Rh1 0.000 0.483 0.752
Rh2 0.500 0.232 0.621
Rh3 0.500 0.732 0.879
Rh4 0.000 0.983 0.748
Rh5 0.500 0.268 0.121
Rh6 0.500 0.768 0.379
Rh7 0.000 0.000 0.000
Rh8 0.000 0.017 0.252
Rh9 0.000 0.517 0.248
Rh10 0.000 0.500 0.500
Ni1 0.000 0.500 0.000
Ni2 0.000 0.000 0.500
Ti1 0.500 0.239 0.874
Ti2 0.500 0.739 0.626
Ti3 0.500 0.261 0.374
Ti4 0.500 0.761 0.126

Crystal system ... orthorhombic
DOS(E_F) ... 16.12 states/eV/cell
Mass density ... 9.9 Mg/m³
Formation energy from the elements ... -4.82 eV/f.u.

This record from the Alexandria database describes Zn4CdSe after structural relaxation. The functional is PBE.

Cell: 5.355 5.355 5.355 Å, 60.00 60.00 60.00°
Fractional coordinates of all 6 atoms:
Zn1 0.375 0.875 0.375
Zn2 0.375 0.375 0.875
Zn3 0.875 0.375 0.375
Zn4 0.375 0.375 0.375
Se1 0.000 0.000 0.000
Cd1 0.750 0.750 0.750

Crystal system ... cubic
Final energy ... -1.4363 eV per atom
DOS(E_F) ... 3.92 states/eV/cell
Mass density ... 6.9 Mg/m³

This record from the Alexandria database describes Sm4Dy3Cu4 after structural relaxation. The functional is PBE.

Cell: 4.893 7.349 8.843 Å, 114.55 106.06 90.00°
Fractional coordinates of all 11 atoms:
Sm1 0.329 0.107 0.657
Sm2 0.329 0.550 0.657
Sm3 0.671 0.450 0.343
Sm4 0.671 0.893 0.343
Dy1 0.000 0.500 0.000
Dy2 0.898 0.898 0.796
Dy3 0.102 0.102 0.204
Cu1 0.802 0.302 0.605
Cu2 0.198 0.698 0.395
Cu3 0.500 0.166 0.000
Cu4 0.500 0.834 0.000

Crystal system ... orthorhombic
DOS(E_F) ... 9.18 states/eV/cell
Mass density ... 8.1 Mg/m³
Formation energy from the elements ... -0.49 eV/f.u.

This record from the Alexandria database describes KFeRe2 after structural relaxation. The functional is PBE.

Cell: 6.022 6.022 6.022 Å, 154.92 131.77 55.13°
Fractional coordinates of all 4 atoms:
K1 0.250 0.750 0.500
Re1 0.959 0.959 0.000
Re2 0.541 0.541 0.000
Fe1 0.750 0.250 0.500

Crystal system ... orthorhombic
DOS(E_F) ... 4.54 states/eV/cell
Mass density ... 11.3 Mg/m³
Formation energy from the elements ... 4.11 eV/f.u.
ΔE to the lowest computed polymorph ... 225 meV/atom

This record from the Alexandria database describes SrReCl after structural relaxation. The functional is PBE.

Cell: 3.406 3.406 7.026 Å, 90.00 90.00 120.00°
Fractional coordinates of all 3 atoms:
Cl1 0.000 0.000 0.988
Sr1 0.667 0.333 0.681
Re1 0.333 0.667 0.331

Crystal system ... trigonal
DOS(E_F) ... 2.49 states/eV/cell
Mass density ... 7.3 Mg/m³
ΔE to the lowest computed polymorph ... 71 meV/atom

This record from the Alexandria database describes Tl3Cd after structural relaxation. The functional is PBE.

Cell: 3.516 6.946 9.924 Å, 90.00 90.00 104.66°
Fractional coordinates of all 8 atoms:
Tl1 0.370 0.741 0.466
Tl2 0.032 0.064 0.250
Tl3 0.968 0.936 0.750
Tl4 0.370 0.741 0.034
Tl5 0.630 0.259 0.966
Tl6 0.630 0.259 0.534
Cd1 0.254 0.507 0.750
Cd2 0.746 0.493 0.250

Crystal system ... orthorhombic
DOS(E_F) ... 3.94 states/eV/cell
Mass density ... 10.3 Mg/m³
Formation energy from the elements ... 0.10 eV/f.u.

Which value of DOS(E_F) does entry 2 give? 4.22 states/eV/cell